# 1
This record from Alexandria via LeMat-Bulk describes a relaxed Li2LaIr2 crystal. The functional is GGA-PBEsol.

## Properties
Volume (A^3/atom): 15.9
Calculated formation energy (meV/atom): -58
Magnetic moment (μB per cell): 0.00
Raw total energy (eV per atom): -5.843

Cell: 2.8616 7.4452 7.4452 Å, 90.00 90.00 90.00°
Last column: nearest neighbours and their distance in Å.
Sites, in units of the cell vectors:
Ir 0.5000 0.1865 0.6865  6 Li 2.59-2.68, 2 Ir 2.86
Ir 0.5000 0.6865 0.8135  6 Li 2.59-2.68, 2 Ir 2.86
Ir 0.5000 0.8135 0.3135  6 Li 2.59-2.68, 2 Ir 2.86
Ir 0.5000 0.3135 0.1865  6 Li 2.59-2.68, 2 Ir 2.86
Li 0.0000 0.3918 0.8918  1 Li 2.28
Li 0.0000 0.8918 0.6082  1 Li 2.28
Li 0.0000 0.6082 0.1082  1 Li 2.28
Li 0.0000 0.1082 0.3918  1 Li 2.28
La 0.0000 0.0000 0.0000  2 La 2.86, 4 Li 3.03, 8 Ir 3.07
La 0.0000 0.5000 0.5000  2 La 2.86, 4 Li 3.03, 8 Ir 3.07

# 2
This record from Alexandria via LeMat-Bulk describes a relaxed LiLaIr crystal. The functional is GGA-PBEsol.

## Properties
Energy above the lowest structure with this stoichiometry (meV per atom): 0
Volume (A^3/atom): 19.9
Calculated formation energy (meV/atom): -162
Magnetic moment (μB per cell): 0.00
Raw total energy (eV per atom): -5.874

Cell: 3.6492 3.6492 5.1748 Å, 110.65 110.65 90.00°
Last column: nearest neighbours and their distance in Å.
Sites, in units of the cell vectors:
Ir 0.0031 0.0031 0.0063  5 Li 2.89-3.18, 5 La 2.93-3.10
La 0.3486 0.3486 0.6971  1 Li 2.69, 4 Ir 2.93
Li 0.6483 0.6483 0.2966  1 La 2.69, 4 Ir 2.89

# 3
This record from Alexandria via LeMat-Bulk describes a relaxed LiLa2Ir crystal. The functional is GGA-PBEsol.

## Properties
Volume (A^3/atom): 32.0
Calculated formation energy (meV/atom): -322
Magnetic moment (μB per cell): 0.00
Raw total energy (eV per atom): -5.942

Cell: 4.1282 4.1282 8.9815 Å, 90.13 103.16 119.97°
Last column: nearest neighbours and their distance in Å.
Sites, in units of the cell vectors:
Ir 0.5000 0.5000 0.0000  6 La 2.83
La 0.9500 0.2258 0.1759  3 Ir 2.83
La 0.0500 0.7742 0.8241  3 Ir 2.83
Li 0.5000 0.0000 0.5000  6 La 3.68-3.69